Entry 1:
# Np3Tl4NiSe8

An optimized crystal structure of Np3Tl4NiSe8 (PBE, the Alexandria database).

The value obtained for the calculated volume is 1357 Å³ per cell. The uncorrected formation energy comes out at -11.45 eV/f.u. As for the density: 8.1 g cm⁻³.

The structure belongs to space group R-3m (No. 166, hexagonal axes); the cell edges are 8.1694, 8.1694 and 23.4820 Å and the angles 90.00°, 90.00° and 120.00°. The inequivalent atoms are Np at (0.0000, 0.5000, 0.0000), Tl at (0.0000, 0.0000, 0.5000), Tl at (0.0000, 0.5000, 0.5000), Ni at (0.0000, 0.0000, 0.0000), Se at (0.0000, 0.0000, 0.2642) and Se at (0.0143, 0.5072, 0.7315).

=====

Entry 2:
# HgMoW2

An optimized crystal structure of HgMoW2 (PBE, the Alexandria database).

The value obtained for the calculated volume is 69 Å³ per cell. As for the density: 16.1 g cm⁻³. The value obtained for the formation energy from the elements is 535 meV/atom.

The structure belongs to space group P2/m (No. 10); the cell edges are 2.7682, 4.4706 and 5.6772 Å and the angles 90.00°, 102.65° and 90.00°. The inequivalent atoms are Hg at (0.0000, 0.0000, 0.0000), Mo at (0.0000, 0.0000, 0.5000) and W at (0.4614, 0.5000, 0.7283).

=====

Entry 3:
# Th3Tl4Te8

An optimized crystal structure of Th3Tl4Te8 (PBE, the Alexandria database).

The value obtained for the calculated volume is 1941 Å³ per cell. The uncorrected formation energy comes out at -12.55 eV/f.u. As for the density: 6.5 g cm⁻³.

The structure belongs to space group R-3m (No. 166, hexagonal axes); the cell edges are 9.2863, 9.2863 and 25.9853 Å and the angles 90.00°, 90.00° and 120.00°. The inequivalent atoms are Th at (0.0000, 0.5000, 0.0000), Tl at (0.0000, 0.0000, 0.0000), Tl at (0.0000, 0.0000, 0.1355), Tl at (0.0000, 0.0000, 0.5000), Te at (0.0000, 0.0000, 0.2678) and Te at (0.0268, 0.5134, 0.2643).

=====

Entry 4:
# Th5NiS4

An optimized crystal structure of Th5NiS4 (PBE, the Alexandria database).

The value obtained for the calculated volume is 473 Å³ per cell. The uncorrected formation energy comes out at -15.44 eV/f.u. As for the density: 9.5 g cm⁻³.

The structure belongs to space group Immm (No. 71); the cell edges are 4.0228, 5.7363 and 20.5053 Å and the angles 90.00°, 90.00° and 90.00°. The inequivalent atoms are Th at (0.0000, 0.0000, 0.0000), Th at (0.0000, 0.0000, 0.1996), Th at (0.0000, 0.0000, 0.4027), Ni at (0.0000, 0.5000, 0.0000), S at (0.0000, 0.5000, 0.1999) and S at (0.0000, 0.5000, 0.3998).

=====

Entry 5:
# TaCoSbI2

An optimized crystal structure of TaCoSbI2 (PBE, the Alexandria database).

The value obtained for the calculated volume is 124 Å³ per cell. The uncorrected formation energy comes out at 5.84 eV/f.u. As for the density: 8.3 g cm⁻³.

The structure belongs to space group P4/mmm (No. 123); the cell edges are 4.9858, 4.9858 and 4.9826 Å and the angles 90.00°, 90.00° and 90.00°. The inequivalent atoms are Ta at (0.0000, 0.0000, 0.0000), Co at (0.5000, 0.5000, 0.5000), Sb at (0.5000, 0.5000, 0.0000) and I at (0.0000, 0.5000, 0.5000).

=====

Entry 6:
# AlPPt3

An optimized crystal structure of AlPPt3 (PBE, the Alexandria database).

The value obtained for the calculated volume is 95 Å³ per cell. As for the density: 11.3 g cm⁻³. The value obtained for the formation energy from the elements is 647 meV/atom.

The structure belongs to space group Pm-3m (No. 221); the cell edges are 4.5617, 4.5617 and 4.5617 Å and the angles 90.00°, 90.00° and 90.00°. The inequivalent atoms are Al at (0.0000, 0.0000, 0.0000), P at (0.5000, 0.5000, 0.5000) and Pt at (0.0000, 0.0000, 0.5000).

=====

Entry 7:
# Ba2CaUS6

An optimized crystal structure of Ba2CaUS6 (PBE, the Alexandria database).

The value obtained for the calculated volume is 560 Å³ per cell. The uncorrected formation energy comes out at -17.85 eV/f.u. As for the density: 4.4 g cm⁻³.

The structure belongs to space group P2_1/c (No. 14); the cell edges are 7.2006, 7.5198 and 12.6007 Å and the angles 90.00°, 124.80° and 90.00°. The inequivalent atoms are Ba at (0.2310, 0.0643, 0.2487), Ca at (0.0000, 0.0000, 0.5000), U at (0.5000, 0.0000, 0.0000), S at (0.1704, 0.1911, 0.9571), S at (0.2651, 0.7163, 0.9536) and S at (0.3465, 0.0208, 0.7613).

=====

Entry 8:
# ZnCrTe2

An optimized crystal structure of ZnCrTe2 (PBE, the Alexandria database).

The value obtained for the calculated volume is 233 Å³ per cell. The uncorrected formation energy comes out at 0.74 eV/f.u. As for the density: 5.3 g cm⁻³.

The structure belongs to space group I-4m2 (No. 119); the cell edges are 3.8731, 3.8731 and 15.5208 Å and the angles 90.00°, 90.00° and 90.00°. The inequivalent atoms are Zn at (0.0000, 0.0000, 0.0000), Cr at (0.0000, 0.5000, 0.7500), Te at (0.0000, 0.0000, 0.5000) and Te at (0.0000, 0.5000, 0.2500).

=====

Entry 9:
# Cs2CaMgCl6

An optimized crystal structure of Cs2CaMgCl6 (PBE, the Alexandria database).

The value obtained for the calculated volume is 1863 Å³ per cell. The uncorrected formation energy comes out at -21.10 eV/f.u. As for the density: 2.9 g cm⁻³.

The structure belongs to space group R-3m (No. 166, hexagonal axes); the cell edges are 7.5511, 7.5511 and 37.7214 Å and the angles 90.00°, 90.00° and 120.00°. The inequivalent atoms are Cs at (0.0000, 0.0000, 0.1282), Cs at (0.0000, 0.0000, 0.2888), Ca at (0.0000, 0.0000, 0.4106), Mg at (0.0000, 0.0000, 0.0000), Mg at (0.0000, 0.0000, 0.5000), Cl at (0.0164, 0.5082, 0.7054) and Cl at (0.0229, 0.5114, 0.1263).

=====

Entry 10:
# Bi2PdI

An optimized crystal structure of Bi2PdI (PBE, the Alexandria database).

The value obtained for the calculated volume is 377 Å³ per cell. The uncorrected formation energy comes out at -0.08 eV/f.u. As for the density: 8.6 g cm⁻³.

The structure belongs to space group R-3m (No. 166, hexagonal axes); the cell edges are 3.4451, 3.4451 and 36.7126 Å and the angles 90.00°, 90.00° and 120.00°. The inequivalent atoms are Bi at (0.0000, 0.0000, 0.1097), Pd at (0.0000, 0.0000, 0.5000) and I at (0.0000, 0.0000, 0.0000).

=====

Entry 11:
# Hf3MnB7

An optimized crystal structure of Hf3MnB7 (PBE, the Alexandria database).

The value obtained for the calculated volume is 430 Å³ per cell. As for the density: 10.3 g cm⁻³. The value obtained for the formation energy from the elements is -872 meV/atom.

The structure belongs to space group Cmcm (No. 63); the cell edges are 3.2655, 14.7392 and 8.9256 Å and the angles 90.00°, 90.00° and 90.00°. The inequivalent atoms are Hf at (0.0000, 0.1067, 0.0542), Hf at (0.0000, 0.2465, 0.7500), Mn at (0.0000, 0.0475, 0.7500), B at (0.0000, 0.2730, 0.0332), B at (0.0000, 0.3683, 0.1525), B at (0.0000, 0.4429, 0.7500) and B at (0.0000, 0.4833, 0.0952).

=====

Entry 12:
# FeCo2Mo

An optimized crystal structure of FeCo2Mo (PBE, the Alexandria database).

The value obtained for the calculated volume is 95 Å³ per cell. As for the density: 9.4 g cm⁻³. The value obtained for the formation energy from the elements is 44 meV/atom.

The structure belongs to space group I-4m2 (No. 119); the cell edges are 3.6048, 3.6048 and 7.3393 Å and the angles 90.00°, 90.00° and 90.00°. The inequivalent atoms are Fe at (0.0000, 0.0000, 0.0000), Co at (0.0000, 0.0000, 0.5000), Co at (0.0000, 0.5000, 0.7500) and Mo at (0.0000, 0.5000, 0.2500).